A plane-wave DFT calculation with PBE-GGA was carried out for Cs3Sn5H12 after structural relaxation.

The structure in POSCAR format:
```
Cs3Sn5H12
1.0
-7.277 7.277 7.277
7.277 -7.277 7.277
7.277 7.277 -7.277
Cs Sn H
12 20 48
direct
0.125 0.250 0.375
0.125 0.375 0.750
0.250 0.375 0.125
0.250 0.875 0.625
0.375 0.125 0.250
0.375 0.750 0.125
0.625 0.250 0.875
0.625 0.875 0.750
0.750 0.125 0.375
0.750 0.625 0.875
0.875 0.625 0.250
0.875 0.750 0.625
0.000 0.000 0.000
0.000 0.000 0.500
0.000 0.500 0.000
0.000 0.500 0.500
0.125 0.750 0.875
0.125 0.875 0.250
0.250 0.125 0.875
0.250 0.625 0.375
0.375 0.250 0.625
0.375 0.625 0.750
0.500 0.000 0.000
0.500 0.000 0.500
0.500 0.500 0.000
0.500 0.500 0.500
0.625 0.375 0.250
0.625 0.750 0.375
0.750 0.375 0.625
0.750 0.875 0.125
0.875 0.125 0.750
0.875 0.250 0.125
0.021 0.684 0.109
0.021 0.837 0.911
0.075 0.663 0.684
0.075 0.911 0.391
0.089 0.609 0.925
0.089 0.979 0.163
0.109 0.021 0.684
0.109 0.589 0.425
0.163 0.089 0.979
0.163 0.575 0.184
0.184 0.163 0.575
0.184 0.521 0.609
0.316 0.891 0.979
0.316 0.925 0.337
0.337 0.316 0.925
0.337 0.521 0.411
0.391 0.075 0.911
0.391 0.816 0.479
0.411 0.337 0.521
0.411 0.575 0.891
0.425 0.109 0.589
0.425 0.816 0.837
0.479 0.391 0.816
0.479 0.589 0.663
0.521 0.411 0.337
0.521 0.609 0.184
0.575 0.184 0.163
0.575 0.891 0.411
0.589 0.425 0.109
0.589 0.663 0.479
0.609 0.184 0.521
0.609 0.925 0.089
0.663 0.479 0.589
0.663 0.684 0.075
0.684 0.075 0.663
0.684 0.109 0.021
0.816 0.479 0.391
0.816 0.837 0.425
0.837 0.425 0.816
0.837 0.911 0.021
0.891 0.411 0.575
0.891 0.979 0.316
0.911 0.021 0.837
0.911 0.391 0.075
0.925 0.089 0.609
0.925 0.337 0.316
0.979 0.163 0.089
0.979 0.316 0.891
```

Uncorrected energy in eV per atom: -2.92
N(E_F) in states/eV/f.u.: 2.96
SG: Ia-3d, No. 230